Record 1
MgTaSi | PBEsol | optimized geometry

Lattice parameters (Å, degrees): 2.9478 2.9478 6.8549 90.00 90.00 120.00
Fractional coordinates of all 3 atoms:
Ta  0.3333  0.6667  0.3515
Mg  0.0000  0.0000  0.9912
Si  0.6667  0.3333  0.6573

DOS(E_F) ... 1.7 states/eV/f.u.
Raw total energy ... -19.7 eV per formula unit
Space group ... P3m1 (156)

---

Record 2
Rb2SnO3 | PBEsol | optimized geometry

Lattice parameters (Å, degrees): 6.0182 6.9211 13.2216 90.00 90.00 115.77
Site moments in Bohr magnetons follow the coordinates.
Fractional coordinates of all 24 atoms:
Rb  0.5482  0.0964  0.3614  0.00
Rb  0.3775  0.7550  0.0758  0.00
Rb  0.8775  0.7550  0.4242  0.00
Rb  0.9518  0.9036  0.8614  0.00
Rb  0.4518  0.9036  0.6386  0.00
Rb  0.0482  0.0964  0.1386  0.00
Rb  0.1225  0.2450  0.5758  0.00
Rb  0.6225  0.2450  0.9242  0.00
O  0.0459  0.5918  0.2500  0.00
O  0.1601  0.3201  0.9532  0.06
O  0.0900  0.1801  0.3554  0.02
O  0.5459  0.5918  0.2500  0.00
O  0.8399  0.6799  0.0468  0.06
O  0.4541  0.4082  0.7500  0.00
O  0.9541  0.4082  0.7500  0.00
O  0.6601  0.3201  0.5468  0.06
O  0.9100  0.8199  0.6446  0.02
O  0.4100  0.8199  0.8554  0.02
O  0.5900  0.1801  0.1446  0.02
O  0.3399  0.6799  0.4532  0.06
Sn  0.2561  0.5123  0.8380  0.00
Sn  0.7561  0.5123  0.6620  0.00
Sn  0.7439  0.4877  0.1620  0.00
Sn  0.2439  0.4877  0.3380  0.00

DOS(E_F) ... 0.0 states/eV/f.u.
Raw total energy ... -31.3 eV per formula unit
Space group ... Cmce (64)

---

Record 3
CsNaY3 | PBEsol | optimized geometry

Lattice parameters (Å, degrees): 5.8412 5.8412 5.8412 90.00 90.00 90.00
Fractional coordinates of all 5 atoms:
Cs  0.5000  0.5000  0.5000
Y  0.0000  0.0000  0.5000
Y  0.5000  0.0000  0.0000
Y  0.0000  0.5000  0.0000
Na  0.0000  0.0000  0.0000

DOS(E_F) ... 10.8 states/eV/f.u.
Space group ... Pm-3m (221)
Energy of formation from the pure elements ... 21.96 kcal/mol of atoms

---

Record 4
CoRePdI2 | PBEsol | optimized geometry

Lattice parameters (Å, degrees): 4.4611 4.9482 4.9482 90.00 90.00 90.00
Site moments in Bohr magnetons follow the coordinates.
Fractional coordinates of all 5 atoms:
I  0.0000  0.0000  0.5000  0.04
I  0.0000  0.5000  0.0000  0.04
Co  0.0000  0.0000  0.0000  0.02
Pd  0.5000  0.5000  0.5000  0.18
Re  0.5000  0.0000  0.0000  1.57

DOS(E_F) ... 6.1 states/eV/f.u.
Raw total energy ... -23.4 eV per formula unit
Space group ... P4/mmm (123)

---

Record 5
Ba3MgCo | PBEsol | optimized geometry

Lattice parameters (Å, degrees): 5.8015 5.8015 5.8015 90.00 90.00 90.00
Site moments in Bohr magnetons follow the coordinates.
Fractional coordinates of all 5 atoms:
Co  0.0000  0.0000  0.0000  0.21
Ba  0.5000  0.0000  0.0000  -0.01
Ba  0.0000  0.0000  0.5000  -0.01
Ba  0.0000  0.5000  0.0000  -0.01
Mg  0.5000  0.5000  0.5000  0.00

DOS(E_F) ... 5.7 states/eV/f.u.
Space group ... Pm-3m (221)
Energy of formation from the pure elements ... 5.74 kcal/mol of atoms

---

Record 6
TaRe2Hg | PBEsol | optimized geometry

Lattice parameters (Å, degrees): 2.9164 2.9164 7.8730 90.00 90.00 90.00
Fractional coordinates of all 4 atoms:
Hg  0.5000  0.5000  0.7566
Re  0.5000  0.5000  0.2278
Re  0.0000  0.0000  0.0350
Ta  0.0000  0.0000  0.4806

DOS(E_F) ... 2.3 states/eV/f.u.
Space group ... P4mm (99)
Energy of formation from the pure elements ... 5.10 kcal/mol of atoms

---

Record 7
AgSn2Au2 | PBEsol | optimized geometry

Lattice parameters (Å, degrees): 3.8395 7.3688 7.3688 90.00 90.00 90.00
Fractional coordinates of all 10 atoms:
Au  0.0000  0.3622  0.8622
Au  0.0000  0.1378  0.3622
Au  0.0000  0.8622  0.6378
Au  0.0000  0.6378  0.1378
Sn  0.5000  0.8327  0.3327
Sn  0.5000  0.3327  0.1673
Sn  0.5000  0.6673  0.8327
Sn  0.5000  0.1673  0.6673
Ag  0.0000  0.0000  0.0000
Ag  0.0000  0.5000  0.5000

E above lowest polymorph ... 0 meV per atom
DOS(E_F) ... 2.0 states/eV/f.u.
Space group ... P4/mbm (127)
Energy of formation from the pure elements ... -1.16 kcal/mol of atoms

---

Record 8
Hg2MoAs | PBEsol | optimized geometry

Lattice parameters (Å, degrees): 2.8758 4.6692 5.7255 90.00 105.03 90.00
Fractional coordinates of all 4 atoms:
As  0.4217  0.5000  0.7221
Hg  0.0648  0.0000  0.9931
Hg  0.6918  0.5000  0.2653
Mo  0.3217  0.0000  0.5194

DOS(E_F) ... 1.7 states/eV/f.u.
Space group ... Pm (6)
Energy of formation from the pure elements ... 8.92 kcal/mol of atoms

---

Record 9
ZnAuSe2N | PBEsol | optimized geometry

Lattice parameters (Å, degrees): 3.6797 5.2266 5.2266 90.00 90.00 90.00
Fractional coordinates of all 5 atoms:
Zn  0.5000  0.5000  0.5000
Au  0.0000  0.0000  0.0000
Se  0.0000  0.5000  0.0000
Se  0.0000  0.0000  0.5000
N  0.5000  0.0000  0.0000

DOS(E_F) ... 4.1 states/eV/f.u.
Raw total energy ... -16.9 eV per formula unit
Space group ... P4/mmm (123)

---

Record 10
CaSn2WO | PBEsol | optimized geometry

Lattice parameters (Å, degrees): 4.2266 4.6972 4.6972 90.00 90.00 90.00
Fractional coordinates of all 5 atoms:
Sn  0.0000  0.5000  0.0000
Sn  0.0000  0.0000  0.5000
Ca  0.5000  0.0000  0.0000
O  0.0000  0.0000  0.0000
W  0.5000  0.5000  0.5000

DOS(E_F) ... 3.8 states/eV/f.u.
Raw total energy ... -30.4 eV per formula unit
Space group ... P4/mmm (123)

---

Record 11
MgV2O4 | PBEsol | optimized geometry

Lattice parameters (Å, degrees): 5.9056 5.9056 5.9056 60.00 60.00 60.00
Site moments in Bohr magnetons follow the coordinates.
Fractional coordinates of all 14 atoms:
V  0.1250  0.6250  0.6250  1.71
V  0.6250  0.6250  0.6250  1.71
V  0.6250  0.1250  0.6250  1.71
V  0.6250  0.6250  0.1250  1.71
O  0.3847  0.8459  0.3847  0.01
O  0.3847  0.3847  0.8459  0.01
O  0.8459  0.3847  0.3847  0.01
O  0.4041  0.8653  0.8653  0.01
O  0.8653  0.4041  0.8653  0.01
O  0.8653  0.8653  0.8653  0.01
O  0.3847  0.3847  0.3847  0.01
O  0.8653  0.8653  0.4041  0.01
Mg  0.0000  0.0000  0.0000  0.01
Mg  0.2500  0.2500  0.2500  0.01

E above lowest polymorph ... 0 meV per atom
DOS(E_F) ... 3.3 states/eV/f.u.
Space group ... Fd-3m (227)

---

Record 12
Ti2Ga2Mo | PBEsol | optimized geometry

Lattice parameters (Å, degrees): 3.3782 6.7311 6.7311 90.00 90.00 90.00
Fractional coordinates of all 10 atoms:
Ga  0.0000  0.1276  0.3724
Ga  0.0000  0.8724  0.6276
Ga  0.0000  0.6276  0.1276
Ga  0.0000  0.3724  0.8724
Ti  0.5000  0.3233  0.1767
Ti  0.5000  0.1767  0.6767
Ti  0.5000  0.6767  0.8233
Ti  0.5000  0.8233  0.3233
Mo  0.0000  0.5000  0.5000
Mo  0.0000  0.0000  0.0000

DOS(E_F) ... 3.7 states/eV/f.u.
Space group ... P4/mbm (127)
Energy of formation from the pure elements ... -8.85 kcal/mol of atoms

---

- DOS(E_F) of number 9 (ZnAuSe2N)?
  4.1 states/eV/f.u.